1.
Compound: TaMoSe3
Source: Alexandria via LeMat-Bulk
Functional: GGA-PBE
Structure: optimized geometry

Structure (POSCAR):
```
TaMoSe3
1.0
6.6724 -5.4278 0.0000
6.6724 5.4278 0.0000
-0.8534 0.0000 5.6723
Ta Mo Se
4 4 12
direct
0.1634 0.3032 0.1440 Ta
0.3032 0.1634 0.6440 Ta
0.6968 0.8366 0.3560 Ta
0.8366 0.6968 0.8560 Ta
0.2927 0.7073 0.7500 Mo
0.4307 0.5693 0.2500 Mo
0.5693 0.4307 0.7500 Mo
0.7073 0.2927 0.2500 Mo
0.0182 0.1968 0.4358 Se
0.1368 0.6096 0.0506 Se
0.1968 0.0182 0.9358 Se
0.2773 0.4465 0.5376 Se
0.3904 0.8632 0.4494 Se
0.4465 0.2773 0.0376 Se
0.5535 0.7227 0.9624 Se
0.6096 0.1368 0.5506 Se
0.7227 0.5535 0.4624 Se
0.8032 0.9818 0.0642 Se
0.8632 0.3904 0.9494 Se
0.9818 0.8032 0.5642 Se
```

Output
The value obtained for the total energy is -137.7 eV per cell. The calculation puts the relative energy among the computed polymorphs at 0.199 eV/atom. The space-group type is C2/c. The value obtained for the formation energy from raw total energies is -0.259 eV per atom.


2.
Compound: La2TaFe
Source: Alexandria via LeMat-Bulk
Functional: GGA-PBE
Structure: optimized geometry

Structure (POSCAR):
```
La2TaFe
1.0
-4.0965 4.0965 2.8451
4.0965 -4.0965 2.8451
4.0965 4.0965 -2.8451
La Ta Fe
4 2 2
direct
0.0601 0.6250 0.9351 La
0.3750 0.3101 0.4351 La
0.6899 0.1250 0.0649 La
0.8750 0.9399 0.5649 La
0.2500 0.7500 0.5000 Ta
0.5000 0.5000 0.0000 Ta
0.0000 0.0000 0.0000 Fe
0.7500 0.2500 0.5000 Fe
```

Output
The calculated formation energy comes out at 0.80 eV/atom. The value obtained for the total energy is -54.0 eV per cell. The calculation puts the relative energy among the computed polymorphs at 0.617 eV/atom. The space-group type is I-42d.


3.
Compound: Ca2NiIr
Source: Alexandria via LeMat-Bulk
Functional: GGA-PBE
Structure: optimized geometry

Structure (POSCAR):
```
Ca2NiIr
1.0
4.3687 0.0000 0.0000
0.0000 4.2736 0.0000
-2.1772 0.0000 4.9846
Ca Ni Ir
2 1 1
direct
0.0000 0.0000 0.0000 Ca
0.2879 0.5000 0.5765 Ca
0.5979 0.5000 0.1961 Ni
0.6918 0.0000 0.3848 Ir
```

Output
The calculated formation energy comes out at -0.24 eV/atom. The value obtained for the total energy is -19.6 eV per cell. The space-group type is Pm.


4.
Compound: ThNbRe
Source: Alexandria via LeMat-Bulk
Functional: GGA-PBE
Structure: optimized geometry

Structure (POSCAR):
```
ThNbRe
1.0
-1.6543 1.6543 5.8886
1.6543 -1.6543 5.8886
1.6543 1.6543 -5.8886
Th Nb Re
1 1 1
direct
0.0000 0.0000 0.0000 Th
0.7039 0.7039 0.0000 Nb
0.3191 0.3191 0.0000 Re
```

Output
The calculated formation energy comes out at 0.11 eV/atom. The value obtained for the total energy is -29.6 eV per cell. The calculation puts the relative energy among the computed polymorphs at 0.000 eV/atom. The space-group type is I4mm.


5.
Compound: Ba6Sb2TeI3
Source: Alexandria via LeMat-Bulk
Functional: GGA-PBE
Structure: optimized geometry

Structure (POSCAR):
```
Ba6Sb2TeI3
1.0
11.0241 -2.5301 0.0000
11.0241 2.5301 0.0000
-2.3301 0.0000 9.8475
Ba Sb Te I
6 2 1 3
direct
0.0079 0.0079 0.2404 Ba
0.3264 0.3264 0.4345 Ba
0.3369 0.3369 0.8980 Ba
0.6631 0.6631 0.1020 Ba
0.6736 0.6736 0.5655 Ba
0.9921 0.9921 0.7596 Ba
0.1656 0.1656 0.3302 Sb
0.8344 0.8344 0.6698 Sb
0.5000 0.5000 0.0000 Te
0.1647 0.1647 0.8330 I
0.5000 0.5000 0.5000 I
0.8353 0.8353 0.1670 I
```

Output
The value obtained for the total energy is -45.2 eV per cell. The space-group type is C2/m. The value obtained for the formation energy from raw total energies is -1.467 eV per atom.


6.
Compound: VMo2W4
Source: Alexandria via LeMat-Bulk
Functional: GGA-PBE
Structure: optimized geometry

Structure (POSCAR):
```
VMo2W4
1.0
2.7365 0.0000 0.0000
-0.9113 6.8076 0.0000
-0.9087 -3.4020 5.9012
V Mo W
1 2 4
direct
0.0000 0.0000 0.0000 V
0.2840 0.7172 0.1421 Mo
0.7160 0.2828 0.8579 Mo
0.1450 0.8580 0.5748 W
0.4323 0.5746 0.7171 W
0.5677 0.4254 0.2829 W
0.8550 0.1420 0.4252 W
```

Output
The calculated formation energy comes out at -0.06 eV/atom. The value obtained for the total energy is -83.0 eV per cell. The calculation puts the relative energy among the computed polymorphs at 0.000 eV/atom. The space-group type is P-1.


7.
Compound: ErTmInRu
Source: Alexandria via LeMat-Bulk
Functional: GGA-PBE
Structure: optimized geometry

Structure (POSCAR):
```
ErTmInRu
1.0
3.4208 0.0000 0.0000
0.0000 3.4208 0.0000
0.0000 0.0000 7.7271
Er Tm In Ru
1 1 1 1
direct
0.0000 0.0000 0.0000 Er
0.0000 0.0000 0.5779 Tm
0.5000 0.5000 0.2902 In
0.5000 0.5000 0.7870 Ru
```

Output
The calculated formation energy comes out at -0.51 eV/atom. The value obtained for the total energy is -23.1 eV per cell. The calculation puts the relative energy among the computed polymorphs at 0.000 eV/atom. The space-group type is P4mm.


8.
Compound: CaAlCu2
Source: Alexandria via LeMat-Bulk
Functional: GGA-PBE
Structure: optimized geometry

Structure (POSCAR):
```
CaAlCu2
1.0
-1.6448 2.3735 4.5836
1.6448 -2.3735 4.5836
1.6448 2.3735 -4.5836
Ca Al Cu
1 1 2
direct
0.0000 0.0000 0.0000 Ca
0.7130 0.2130 0.5000 Al
0.2810 0.7810 0.5000 Cu
0.4937 0.4937 0.0000 Cu
```

Output
The calculated formation energy comes out at 0.02 eV/atom. The value obtained for the total energy is -13.9 eV per cell. The space-group type is Imm2.


9.
Compound: PmGaAg2
Source: Alexandria via LeMat-Bulk
Functional: GGA-PBE
Structure: optimized geometry

Structure (POSCAR):
```
PmGaAg2
1.0
2.4577 1.4189 4.0219
-2.4577 1.4189 4.0219
0.0000 -2.8379 4.0219
Pm Ga Ag
1 1 2
direct
0.0000 0.0000 0.0000 Pm
0.5000 0.5000 0.5000 Ga
0.2495 0.2495 0.2495 Ag
0.7505 0.7505 0.7505 Ag
```

Output
The calculated formation energy comes out at -0.29 eV/atom. The value obtained for the total energy is -14.7 eV per cell. The space-group type is R-3m.


10.
Compound: RbTaSi2
Source: Alexandria via LeMat-Bulk
Functional: GGA-PBE
Structure: optimized geometry

Structure (POSCAR):
```
RbTaSi2
1.0
0.0000 3.4485 3.4485
3.4485 0.0000 3.4485
3.4485 3.4485 0.0000
Rb Ta Si
1 1 2
direct
0.0000 0.0000 0.0000 Rb
0.5000 0.5000 0.5000 Ta
0.2500 0.2500 0.2500 Si
0.7500 0.7500 0.7500 Si
```

Output
The value obtained for the total energy is -19.3 eV per cell. The calculation puts the relative energy among the computed polymorphs at 0.512 eV/atom. The space-group type is Fm-3m. The value obtained for the formation energy from raw total energies is 1.084 eV per atom.


11.
Compound: KRbTl4Bi2
Source: Alexandria via LeMat-Bulk
Functional: GGA-PBE
Structure: optimized geometry

Structure (POSCAR):
```
KRbTl4Bi2
1.0
4.9418 0.0000 0.0000
0.0000 4.9418 0.0000
0.0000 0.0000 13.3676
K Rb Tl Bi
1 1 4 2
direct
0.0000 0.0000 0.0000 K
0.0000 0.0000 0.5000 Rb
0.0000 0.5000 0.2739 Tl
0.0000 0.5000 0.7261 Tl
0.5000 0.0000 0.2739 Tl
0.5000 0.0000 0.7261 Tl
0.5000 0.5000 0.1194 Bi
0.5000 0.5000 0.8806 Bi
```

Output
The calculated formation energy comes out at -0.17 eV/atom. The value obtained for the total energy is -20.6 eV per cell. The space-group type is P4/mmm.


12.
Compound: SmAlZn2Pd4
Source: Alexandria via LeMat-Bulk
Functional: GGA-PBE
Structure: optimized geometry

Structure (POSCAR):
```
SmAlZn2Pd4
1.0
2.1893 1.2640 8.2342
-2.1893 1.2640 8.2342
0.0000 -2.5280 8.2342
Sm Al Zn Pd
1 1 2 4
direct
0.0000 0.0000 0.0000 Sm
0.5000 0.5000 0.5000 Al
0.2431 0.2431 0.2431 Zn
0.7569 0.7569 0.7569 Zn
0.1320 0.1320 0.1320 Pd
0.4000 0.4000 0.4000 Pd
0.6000 0.6000 0.6000 Pd
0.8680 0.8680 0.8680 Pd
```

Output
The calculated formation energy comes out at -0.69 eV/atom. The value obtained for the total energy is -37.3 eV per cell. The space-group type is R-3m.